(1)
VASP calculation (SCAN) on a PBEsol-optimized structure of SrAgHg2.

abc: 4.849 5.301 4.849
angles: 62.78 90.00 117.22
Sites, in units of the cell vectors:
Sr1 0.500 0.000 0.500
Hg1 0.250 0.500 0.250
Hg2 0.750 0.500 0.750
Ag1 0.000 0.000 0.000

ΔE_f in eV per formula unit: -1.51


(2)
VASP calculation (SCAN) on a PBEsol-optimized structure of SrAgHg3.

abc: 5.234 5.234 5.234
angles: 90.00 90.00 90.00
Sites, in units of the cell vectors:
Sr1 0.500 0.500 0.500
Hg1 0.000 0.500 0.000
Hg2 0.000 0.000 0.500
Hg3 0.500 0.000 0.000
Ag1 0.000 0.000 0.000

ΔE_f in eV per formula unit: -0.78


(3)
VASP calculation (SCAN) on a PBEsol-optimized structure of SrAgHg2.

abc: 4.833 5.133 5.235
angles: 119.36 117.49 90.00
Sites, in units of the cell vectors:
Sr1 0.502 0.502 0.004
Hg1 0.994 0.994 0.987
Hg2 0.740 0.240 0.479
Ag1 0.265 0.765 0.529

ΔE_f in eV per formula unit: -1.36


(4)
VASP calculation (SCAN) on a PBEsol-optimized structure of SrAgHg2.

abc: 4.597 4.597 4.680
angles: 90.00 90.00 90.00
Sites, in units of the cell vectors:
Ag1 0.000 0.000 0.500
Hg1 0.000 0.500 0.000
Hg2 0.500 0.000 0.000
Sr1 0.500 0.500 0.500

ΔE_f in eV per formula unit: -1.27


(5)
VASP calculation (SCAN) on a PBEsol-optimized structure of TaAg2Hg.

abc: 2.833 5.031 5.031
angles: 90.00 90.00 90.00
Sites, in units of the cell vectors:
Hg1 0.500 0.500 0.500
Ag1 0.000 0.000 0.500
Ag2 0.000 0.500 0.000
Ta1 0.500 0.000 0.000

ΔE_f in eV per formula unit: 2.07


(6)
VASP calculation (SCAN) on a PBEsol-optimized structure of TaAg2Hg.

abc: 4.626 4.626 4.626
angles: 60.00 60.00 60.00
Sites, in units of the cell vectors:
Hg1 0.500 0.500 0.500
Ag1 0.000 0.000 0.000
Ag2 0.750 0.750 0.750
Ta1 0.250 0.250 0.250

ΔE_f in eV per formula unit: 1.91


(7)
VASP calculation (SCAN) on a PBEsol-optimized structure of TaAg2Hg.

abc: 2.815 4.937 5.361
angles: 97.48 90.00 106.57
Sites, in units of the cell vectors:
Hg1 0.499 0.999 0.498
Ag1 0.001 0.001 0.001
Ag2 0.250 0.500 0.756
Ta1 0.750 0.501 0.245

ΔE_f in eV per formula unit: 1.52


(8)
VASP calculation (SCAN) on a PBEsol-optimized structure of TcAgHg.

abc: 2.675 4.671 4.671
angles: 120.00 90.00 90.00
Sites, in units of the cell vectors:
Ag1 0.929 0.000 0.000
Hg1 0.736 0.333 0.667
Tc1 0.335 0.667 0.333

ΔE_f in eV per formula unit: 2.16


(9)
VASP calculation (SCAN) on a PBEsol-optimized structure of Ti2TcAgHg.

abc: 4.891 4.891 4.937
angles: 90.00 90.00 90.00
Sites, in units of the cell vectors:
Ti1 0.000 0.500 0.000
Ti2 0.500 0.000 0.000
Hg1 0.000 0.000 0.000
Ag1 0.500 0.500 0.500
Tc1 0.000 0.000 0.500

ΔE_f in eV per formula unit: 7.42


(10)
VASP calculation (SCAN) on a PBEsol-optimized structure of AgHgTe3.

abc: 5.522 5.522 5.522
angles: 90.00 90.00 90.00
Sites, in units of the cell vectors:
Te1 0.000 0.500 0.000
Te2 0.000 0.000 0.500
Te3 0.500 0.000 0.000
Hg1 0.000 0.000 0.000
Ag1 0.500 0.500 0.500

Raw formation energy in eV/f.u.: 3.81


(11)
VASP calculation (SCAN) on a PBEsol-optimized structure of AgHg2Te.

abc: 4.041 4.041 6.576
angles: 107.89 107.89 90.00
Sites, in units of the cell vectors:
Te1 0.500 0.500 0.000
Hg1 0.750 0.250 0.500
Hg2 0.250 0.750 0.500
Ag1 0.000 0.000 0.000

Raw formation energy in eV/f.u.: 0.42


(12)
VASP calculation (SCAN) on a PBEsol-optimized structure of Ag2HgTe.

abc: 3.296 3.296 9.137
angles: 79.61 79.61 60.00
Sites, in units of the cell vectors:
Te1 0.000 0.000 0.000
Hg1 0.500 0.500 0.500
Ag1 0.248 0.248 0.257
Ag2 0.752 0.752 0.743

Raw formation energy in eV/f.u.: 0.65


Number 1: V 95 Å³/cell, total magnetization 0.00 Bohr magnetons per cell, VASP energy -47.87 eV/atom. Number 2: V 143 Å³/cell, total magnetization 0.00 Bohr magnetons per cell, VASP energy -51.78 eV/atom. Number 3: V 96 Å³/cell, total magnetization 0.00 Bohr magnetons per cell, VASP energy -47.83 eV/atom. Number 4: V 99 Å³/cell, total magnetization 0.00 Bohr magnetons per cell, VASP energy -47.81 eV/atom. Number 5: V 72 Å³/cell, total magnetization 0.00 Bohr magnetons per cell, VASP energy -48.85 eV/atom. Number 6: V 70 Å³/cell, total magnetization 0.00 Bohr magnetons per cell, VASP energy -48.89 eV/atom. Number 7: V 71 Å³/cell, total magnetization 0.00 Bohr magnetons per cell, VASP energy -48.99 eV/atom. Number 8: V 51 Å³/cell, total magnetization 1.49 Bohr magnetons per cell, VASP energy -44.14 eV/atom. Number 9: V 118 Å³/cell, total magnetization 0.38 Bohr magnetons per cell, VASP energy -31.85 eV/atom. Number 10: V 168 Å³/cell, total magnetization 0.00 Bohr magnetons per cell, VASP energy -41.50 eV/atom. Number 11: V 97 Å³/cell, total magnetization 0.27 Bohr magnetons per cell, VASP energy -51.13 eV/atom. Number 12: V 84 Å³/cell, total magnetization 0.00 Bohr magnetons per cell, VASP energy -41.88 eV/atom.